(1)
## HfSc2Te2 (PBE)

Data for a relaxed structure of HfSc2Te2.

Structure (CIF):
```
data_HfSc2Te2
_chemical_formula_sum 'Hf2 Sc4 Te4'
_symmetry_space_group_name_H-M 'C 1 m 1'
_symmetry_Int_Tables_number 8
_cell_length_a 7.056
_cell_length_b 8.468
_cell_length_c 5.522
_cell_angle_alpha 90.00
_cell_angle_beta 129.03
_cell_angle_gamma 90.00
loop_
_symmetry_equiv_pos_as_xyz
'x,y,z'
'x,-y,z'
'x+1/2,y+1/2,z'
'x+1/2,-y+1/2,z'
loop_
_atom_site_label
_atom_site_fract_x
_atom_site_fract_y
_atom_site_fract_z
Hf1 0.000 0.000 0.000
Sc1 0.168 0.314 0.046
Te1 0.032 0.500 0.406
Te2 0.144 0.000 0.612
```

Values from the calculation:
Volume = 25.63 Å³/atom
Energy = -6.16 eV per atom

(2)
## HfScTl2 (PBE)

Data for a relaxed structure of HfScTl2.

Structure (CIF):
```
data_HfScTl2
_chemical_formula_sum 'Hf4 Sc4 Tl8'
_symmetry_space_group_name_H-M 'F -4 3 m'
_symmetry_Int_Tables_number 216
_symmetry_space_group_name_Hall 'F -4 2 3'
_cell_length_a 7.326
_cell_length_b 7.326
_cell_length_c 7.326
_cell_angle_alpha 90.00
_cell_angle_beta 90.00
_cell_angle_gamma 90.00
loop_
_atom_site_label
_atom_site_fract_x
_atom_site_fract_y
_atom_site_fract_z
Hf1 0.000 0.000 0.000
Sc1 0.250 0.250 0.250
Tl1 0.000 0.000 0.500
Tl2 0.250 0.250 0.750
```

Values from the calculation:
Volume = 24.57 Å³/atom
Energy = -4.83 eV per atom

Please write out number 1 again, unchanged.
## HfSc2Te2 (PBE)

Data for a relaxed structure of HfSc2Te2.

Structure (CIF):
```
data_HfSc2Te2
_chemical_formula_sum 'Hf2 Sc4 Te4'
_symmetry_space_group_name_H-M 'C 1 m 1'
_symmetry_Int_Tables_number 8
_cell_length_a 7.056
_cell_length_b 8.468
_cell_length_c 5.522
_cell_angle_alpha 90.00
_cell_angle_beta 129.03
_cell_angle_gamma 90.00
loop_
_symmetry_equiv_pos_as_xyz
'x,y,z'
'x,-y,z'
'x+1/2,y+1/2,z'
'x+1/2,-y+1/2,z'
loop_
_atom_site_label
_atom_site_fract_x
_atom_site_fract_y
_atom_site_fract_z
Hf1 0.000 0.000 0.000
Sc1 0.168 0.314 0.046
Te1 0.032 0.500 0.406
Te2 0.144 0.000 0.612
```

Values from the calculation:
Volume = 25.63 Å³/atom
Energy = -6.16 eV per atom

Which of these has the lowest volume? HfScTl2

The lowest energy belongs to which entry? HfSc2Te2